TmScCu | Alexandria via LeMat-Bulk | PBE-GGA | optimized geometry; DFT formation energy = -0.144 eV/atom; distance to the lowest polymorph of the same formula = 44 meV per atom; final energy = -30.660 eV for the cell shown; total moment = 0.00 μB per formula unit; symmetry = P4/nmm
1.0
-1.927 3.549 1.812
-3.275 -0.264 -2.965
-3.491 -4.048 4.216
Tm Sc Cu
2 2 2
Cartesian
-4.685 -3.666 2.198
-1.407 1.260 1.442
-1.746 -2.024 2.108
-4.346 -0.382 1.531
-3.513 -1.182 3.985
-2.579 -1.224 -0.346



MgSc2Pt | Alexandria via LeMat-Bulk | PBE-GGA | optimized geometry; DFT formation energy = -0.516 eV/atom; final energy = -22.364 eV for the cell shown; total moment = 0.00 μB per formula unit; symmetry = I-4m2
1.0
-0.201 5.351 -0.676
-3.595 1.644 -3.674
-0.147 -3.310 4.260
Pt Sc Mg
1 2 1
Cartesian
-1.123 2.769 0.704
-2.820 0.915 -0.795
0.000 0.000 0.000
-1.898 3.497 -2.175



Tm2S2Br | Alexandria via LeMat-Bulk | PBE-GGA | optimized geometry; formation energy without anion corrections = -1.848 eV/atom; final energy = -28.111 eV for the cell shown; total moment = 0.00 μB per formula unit; symmetry = Immm
1.0
3.994 0.000 0.000
0.000 5.316 0.000
-1.997 -2.658 6.087
Tm S Br
2 2 1
Cartesian
1.997 0.000 2.236
0.000 2.658 3.851
0.000 0.000 3.969
1.997 2.658 2.118
0.000 0.000 0.000



Question: Look up the total moment of the first one.
Answer: 0.00 μB per formula unit